No. 1
Crystalline Sc6Fe2Sb at its relaxed geometry. Source: the Alexandria database, functional GGA-PBE.

**DOS at the Fermi energy**: 7.80 states/eV/f.u.
**Magnetic moment**: 0.00 μB per cell
**Calculated total energy**: -6.907 eV per atom

a b c (Å): 7.8167 7.8167 7.8167
angles (deg): 111.48 110.16 106.81
Element x y z (fractional)
1 Sc 0.0122 0.8129 0.1994
2 Sc 0.2361 0.5145 0.2784
3 Sc 0.2361 0.9576 0.7216
4 Sc 0.2830 0.3112 0.5942
5 Sc 0.2830 0.6888 0.9718
6 Sc 0.3865 0.1871 0.1994
7 Sc 0.6135 0.8129 0.8006
8 Sc 0.7170 0.3112 0.0282
9 Sc 0.7170 0.6888 0.4058
10 Sc 0.7639 0.0424 0.2784
11 Sc 0.7639 0.4855 0.7216
12 Sc 0.9878 0.1871 0.8006
13 Fe 0.0000 0.1247 0.1247
14 Fe 0.0000 0.8753 0.8753
15 Fe 0.3856 0.3856 0.0000
16 Fe 0.6144 0.6144 0.0000
17 Sb 0.0000 0.5000 0.5000
18 Sb 0.5000 0.0000 0.5000

---

No. 2
Crystalline ScFe2Sb at its relaxed geometry. Source: the Alexandria database, functional GGA-PBE.

**DOS at the Fermi energy**: 2.86 states/eV/f.u.
**Magnetic moment**: 4.24 μB per cell
**Calculated total energy**: -6.724 eV per atom

a b c (Å): 5.3188 5.3188 3.0575
angles (deg): 104.92 104.92 115.69
Element x y z (fractional)
1 Sc 0.0000 0.0000 0.0000
2 Fe 0.0000 0.5000 0.5000
3 Fe 0.5000 0.0000 0.5000
4 Sb 0.5000 0.5000 0.0000

---

No. 3
Crystalline Sc6FeSb2 at its relaxed geometry. Source: the Alexandria database, functional GGA-PBE.

**DOS at the Fermi energy**: 7.57 states/eV/f.u.
**Magnetic moment**: 0.42 μB per cell
**Calculated total energy**: -6.659 eV per atom

a b c (Å): 7.6507 7.6507 3.8989
angles (deg): 90.00 90.00 120.00
Element x y z (fractional)
1 Sc 0.0000 0.3893 0.0000
2 Sc 0.0000 0.7677 0.5000
3 Sc 0.2323 0.2323 0.5000
4 Sc 0.3893 0.0000 0.0000
5 Sc 0.6107 0.6107 0.0000
6 Sc 0.7677 0.0000 0.5000
7 Fe 0.0000 0.0000 0.0000
8 Sb 0.3333 0.6667 0.5000
9 Sb 0.6667 0.3333 0.5000

---

No. 4
Crystalline ScFeSb2 at its relaxed geometry. Source: the Alexandria database, functional GGA-PBE.

**DOS at the Fermi energy**: 3.75 states/eV/f.u.
**Magnetic moment**: 1.91 μB per cell
**Calculated total energy**: -5.812 eV per atom

a b c (Å): 4.8722 4.8722 4.8722
angles (deg): 60.00 60.00 60.00
Element x y z (fractional)
1 Sc 0.0000 0.0000 0.0000
2 Fe 0.5000 0.5000 0.5000
3 Sb 0.2500 0.2500 0.2500
4 Sb 0.7500 0.7500 0.7500

---

No. 5
Crystalline ScFe2Sb at its relaxed geometry. Source: the Alexandria database, functional GGA-PBE.

**DOS at the Fermi energy**: 1.61 states/eV/f.u.
**Magnetic moment**: 0.00 μB per cell
**Calculated total energy**: -6.973 eV per atom

a b c (Å): 4.2829 4.2829 3.2065
angles (deg): 90.00 90.00 90.00
Element x y z (fractional)
1 Sc 0.0000 0.0000 0.0000
2 Fe 0.0000 0.5000 0.5000
3 Fe 0.5000 0.0000 0.5000
4 Sb 0.5000 0.5000 0.0000

---

No. 6
Crystalline ScFeSb2 at its relaxed geometry. Source: the Alexandria database, functional GGA-PBE.

**DOS at the Fermi energy**: 4.53 states/eV/f.u.
**Magnetic moment**: 2.04 μB per cell
**Calculated total energy**: -5.855 eV per atom

a b c (Å): 4.9775 4.9775 4.9775
angles (deg): 129.08 112.69 89.08
Element x y z (fractional)
1 Sc 0.0000 0.0000 0.0000
2 Fe 0.5000 0.5000 0.0000
3 Sb 0.2793 0.7793 0.5000
4 Sb 0.7207 0.2207 0.5000

---

No. 7
Crystalline ScFeSb3 at its relaxed geometry. Source: the Alexandria database, functional GGA-PBE.

**DOS at the Fermi energy**: 4.80 states/eV/f.u.
**Magnetic moment**: 2.46 μB per cell
**Calculated total energy**: -5.172 eV per atom

a b c (Å): 5.0247 5.0247 5.0247
angles (deg): 90.00 90.00 90.00
Element x y z (fractional)
1 Sc 0.0000 0.0000 0.0000
2 Fe 0.5000 0.5000 0.5000
3 Sb 0.0000 0.5000 0.5000
4 Sb 0.5000 0.0000 0.5000
5 Sb 0.5000 0.5000 0.0000

---

No. 8
Crystalline ScFeSb2 at its relaxed geometry. Source: the Alexandria database, functional GGA-PBE.

**DOS at the Fermi energy**: 3.12 states/eV/f.u.
**Magnetic moment**: 2.54 μB per cell
**Calculated total energy**: -5.954 eV per atom

a b c (Å): 3.8390 3.8390 5.7837
angles (deg): 90.00 90.00 90.00
Element x y z (fractional)
1 Sc 0.0000 0.0000 0.0000
2 Fe 0.5000 0.5000 0.3259
3 Sb 0.0000 0.0000 0.4842
4 Sb 0.5000 0.5000 0.8378